Compound: PuHf3Zr6
Source: the Alexandria database
Functional: GGA-PBE
Structure: relaxed

Cell: 3.1645 13.0363 13.0406 Å, 63.44 73.67 84.43°
With the nearest neighbours (Å) after each atom.
Fractional coordinates of all 20 atoms:
Hf (0.6495, 0.7249, 0.6671)  10 Zr 3.11-3.48, 3 Hf 3.16-3.43
Hf (0.3505, 0.2751, 0.3329)  10 Zr 3.11-3.48, 3 Hf 3.16-3.43
Hf (0.4452, 0.8744, 0.8350)  5 Zr 2.92-3.15, 2 Pu 2.94-3.23, 2 Hf 3.16
Hf (0.1323, 0.6660, 0.3137)  2 Pu 3.07-3.29, 8 Zr 3.14-3.36, 2 Hf 3.16
Hf (0.5548, 0.1256, 0.1650)  5 Zr 2.92-3.15, 2 Pu 2.94-3.23, 2 Hf 3.16
Hf (0.8677, 0.3340, 0.6863)  2 Pu 3.07-3.29, 8 Zr 3.14-3.36, 2 Hf 3.16
Zr (0.1537, 0.3632, 0.0781)  4 Zr 2.91-3.21, 1 Pu 3.00, 2 Hf 3.07-3.22
Zr (0.6152, 0.4184, 0.4459)  5 Zr 2.91-3.16, 4 Hf 3.13-3.24
Zr (0.8463, 0.6368, 0.9219)  4 Zr 2.91-3.21, 1 Pu 3.00, 2 Hf 3.07-3.22
Zr (0.5655, 0.1646, 0.6070)  6 Zr 3.01-3.26, 2 Hf 3.14-3.26
Zr (0.4345, 0.8354, 0.3930)  6 Zr 3.01-3.26, 2 Hf 3.14-3.26
Zr (0.1441, 0.9522, 0.6123)  4 Hf 2.92-3.18, 6 Zr 2.96-3.16
Zr (0.3848, 0.5816, 0.5541)  5 Zr 2.91-3.16, 4 Hf 3.13-3.24
Zr (0.8559, 0.0478, 0.3877)  4 Hf 2.92-3.18, 6 Zr 2.96-3.16
Zr (0.0451, 0.4805, 0.8122)  1 Pu 2.89, 5 Zr 2.91-3.21, 2 Hf 3.19-3.24
Zr (0.1498, 0.9335, 0.1330)  2 Pu 3.07-3.13, 3 Hf 3.09-3.21, 5 Zr 3.16-3.40
Zr (0.8502, 0.0665, 0.8670)  2 Pu 3.07-3.13, 3 Hf 3.09-3.21, 5 Zr 3.16-3.40
Zr (0.9549, 0.5195, 0.1878)  1 Pu 2.89, 5 Zr 2.91-3.21, 2 Hf 3.19-3.24
Pu (0.8099, 0.7625, 0.0690)  4 Zr 2.89-3.13, 3 Hf 2.94-3.23, 2 Pu 3.16
Pu (0.1901, 0.2375, 0.9310)  4 Zr 2.89-3.13, 3 Hf 2.94-3.23, 2 Pu 3.16

ΔE_f, meV/atom: 110
Crystal system: triclinic